LaCdRe2: relaxed, PBE.

Geometry as extended XYZ:
```
4
Lattice="-1.605 2.533 4.874 1.605 -2.533 4.874 1.605 2.533 -4.874" Properties=species:S:1:pos:R:3 pbc="T T T"
La 0.000 0.000 0.000
Cd 0.000 0.000 4.874
Re 1.605 0.000 2.463
Re 0.000 2.533 2.411
```

Properties
N(E_F)   1.2711 states/eV/atom
Crystal system   orthorhombic
Density   13.07 Mg/m³
Energy of formation   0.91 eV per atom